1.
This record from Alexandria via LeMat-Bulk describes crystalline Tc2AgP at its relaxed geometry. The functional is GGA-PBE.

```
4
Lattice="-0.723 -2.751 0.630 3.415 -0.579 1.392 -1.830 1.668 5.183" Properties=species:S:1:pos:R:3 pbc="T T T"
Tc -0.005 0.005 0.014
Tc 0.975 -1.327 2.061
Ag -0.907 0.827 2.568
P -0.117 -0.331 5.153
```

Calculated values
total moment: 0.00 Bohr magnetons per cell
ΔH_f (0 K): 0.258 eV/atom
volume: 62.47 Å³ per cell


2.
This record from Alexandria via LeMat-Bulk describes crystalline Tc2AgP at its relaxed geometry. The functional is GGA-PBE.

```
4
Lattice="1.459 4.443 -0.017 -1.459 4.443 -0.017 0.000 0.201 4.923" Properties=species:S:1:pos:R:3 pbc="T T T"
Tc 0.000 0.087 0.032
Tc 0.000 6.737 3.972
Ag 0.000 4.328 2.505
P 0.000 2.477 0.824
```

Calculated values
total moment: 0.00 Bohr magnetons per cell
ΔH_f (0 K): 0.259 eV/atom
volume: 63.85 Å³ per cell


3.
This record from Alexandria via LeMat-Bulk describes crystalline Tc2AgP at its relaxed geometry. The functional is GGA-PBE.

```
8
Lattice="3.849 0.000 0.000 0.000 3.849 0.000 1.924 1.924 9.163" Properties=species:S:1:pos:R:3 pbc="T T T"
P 1.924 1.924 0.000
P 1.924 3.849 4.581
Tc 2.581 0.962 2.291
Tc 1.268 2.887 2.291
Tc 2.887 3.193 6.872
Tc 4.811 4.505 6.872
Ag 0.000 0.000 0.000
Ag 3.849 1.924 4.581
```

Calculated values
total moment: 0.00 Bohr magnetons per cell
ΔH_f (0 K): 0.597 eV/atom
volume: 135.73 Å³ per cell


4.
This record from Alexandria via LeMat-Bulk describes crystalline TcAgP2 at its relaxed geometry. The functional is GGA-PBE.

```
4
Lattice="-0.349 -2.761 -1.033 2.050 0.520 -2.083 5.001 -2.263 4.357" Properties=species:S:1:pos:R:3 pbc="T T T"
Ag 4.601 -2.817 1.710
P 0.240 -0.109 0.210
P 2.260 -1.023 1.969
Tc 2.101 -1.686 -0.468
```

Calculated values
total moment: 0.00 Bohr magnetons per cell
ΔH_f (0 K): -0.038 eV/atom
volume: 61.74 Å³ per cell


5.
This record from Alexandria via LeMat-Bulk describes crystalline Tc2AgP at its relaxed geometry. The functional is GGA-PBE.

```
4
Lattice="1.483 -2.318 0.000 1.483 2.318 0.000 0.000 0.000 9.150" Properties=species:S:1:pos:R:3 pbc="T T T"
Tc 0.000 0.000 0.091
Tc 1.483 0.000 7.067
Ag 0.000 0.000 4.590
P 1.483 0.000 1.977
```

Calculated values
total moment: 0.00 Bohr magnetons per cell
ΔH_f (0 K): 0.351 eV/atom
volume: 62.89 Å³ per cell


6.
This record from Alexandria via LeMat-Bulk describes crystalline TcAgP2 at its relaxed geometry. The functional is GGA-PBE.

```
4
Lattice="3.023 0.000 0.000 0.000 3.602 0.000 0.000 0.000 5.779" Properties=species:S:1:pos:R:3 pbc="T T T"
Ag 1.512 1.801 4.477
P 0.000 0.000 5.744
P 1.512 1.801 1.874
Tc 0.000 0.000 2.352
```

Calculated values
total moment: 0.00 Bohr magnetons per cell
ΔH_f (0 K): 0.173 eV/atom
volume: 62.92 Å³ per cell